# 1
3
Lattice="0.000 3.602 3.602 3.602 0.000 3.602 3.602 3.602 0.000" Properties=species:S:1:pos:R:3 comment="NaPaTl PBE relaxed" volume_a3_per_cell=93.5 energy_ev_per_cell=-11.01 sg="No. 216" magmom_total_mub_per_cell=0.99 pbc="T T T"
Na 0.000 0.000 0.000
Pa 3.602 3.602 3.602
Tl 1.801 1.801 1.801

# 2
3
Lattice="0.000 3.658 3.658 3.658 0.000 3.658 3.658 3.658 0.000" Properties=species:S:1:pos:R:3 comment="NaTmPa PBE relaxed" volume_a3_per_cell=97.9 energy_ev_per_cell=-10.95 sg="No. 216" magmom_total_mub_per_cell=3.15 pbc="T T T"
Na 0.000 0.000 0.000
Tm 1.829 1.829 1.829
Pa 5.487 5.487 5.487

no.,theoretical density (Mg/m³)
1,8.1
2,7.2